No. 1
Entry from Alexandria: crystalline K3NdTc2O9 at its relaxed geometry (PBE-GGA).

Properties
* space group: P-3m1

Unit cell a=5.8146 b=5.8146 c=7.3069 alpha=90.00 beta=90.00 gamma=120.00
Positions (direct):
K1 0.3333 0.6667 0.6824
K2 0.0000 0.0000 0.0000
K3 0.6667 0.3333 0.3176
Nd1 0.0000 0.0000 0.5000
Tc1 0.3333 0.6667 0.1549
Tc2 0.6667 0.3333 0.8451
O1 0.8191 0.1809 0.6980
O2 0.8191 0.6383 0.6980
O3 0.3617 0.1809 0.6980
O4 0.6383 0.8191 0.3020
O5 0.1809 0.3617 0.3020
O6 0.1809 0.8191 0.3020
O7 0.5000 0.0000 0.0000
O8 0.0000 0.5000 0.0000
O9 0.5000 0.5000 0.0000

No. 2
Entry from Alexandria: crystalline CrCoN2 at its relaxed geometry (PBE-GGA).

Properties
* space group: P6_3/mmc

Unit cell a=2.7511 b=2.7511 c=9.8697 alpha=90.00 beta=90.00 gamma=120.00
Positions (direct):
Cr1 0.3333 0.6667 0.2500
Cr2 0.6667 0.3333 0.7500
Co1 0.0000 0.0000 0.0000
Co2 0.0000 0.0000 0.5000
N1 0.6667 0.3333 0.1259
N2 0.3333 0.6667 0.8741
N3 0.3333 0.6667 0.6259
N4 0.6667 0.3333 0.3741

Number 1: theoretical density 4.7 g cm⁻³, total magnetic moment 0.0 μB/cell, VASP energy -6.740 eV per atom. Number 2: theoretical density 7.1 g cm⁻³, total magnetic moment 0.0 μB/cell, VASP energy -8.323 eV per atom.